i) A relaxed Li2SbAs crystal, computed with PBE.

Values from the calculation:
Mass density = 4.4 g/cm³

abc: 5.410 3.121 4.691
angles: 90.02 90.00 90.00
Element x y z (fractional)
Li 0.500 0.126 0.269
Sb 0.000 0.624 0.492
Li 0.000 0.124 0.982
As 0.500 0.626 0.757



ii) A relaxed Li2SbAs crystal, computed with PBE.

Values from the calculation:
Mass density = 4.0 g/cm³

abc: 4.196 4.196 6.198
angles: 70.21 70.21 60.00
Element x y z (fractional)
Sb 0.509 0.509 0.473
Li 0.272 0.272 0.183
Li 0.061 0.061 0.817
As 0.658 0.658 0.027



iii) A relaxed Li2SbAs crystal, computed with PBE.

Values from the calculation:
Mass density = 4.6 g/cm³

abc: 6.887 5.126 3.057
angles: 91.77 60.66 121.71
Element x y z (fractional)
Li 0.000 0.000 0.000
Sb 0.000 0.500 0.500
As 0.500 0.500 0.000
Li 0.500 0.000 0.500



iv) A relaxed Li2SbAs crystal, computed with PBE.

Values from the calculation:
Mass density = 4.6 g/cm³

abc: 5.495 5.495 5.495
angles: 136.80 136.80 62.75
Element x y z (fractional)
Sb 0.500 0.500 0.000
As 0.750 0.250 0.500
Li 0.250 0.750 0.500
Li 0.000 0.000 0.000



Least stable structure: iv)



i) A relaxed Li2SbAs2 crystal, computed with PBE.

Values from the calculation:
Mass density = 4.9 g/cm³

abc: 8.061 8.061 2.974
angles: 90.00 90.00 90.00
Element x y z (fractional)
As 0.822 0.678 0.000
Li 0.880 0.380 0.500
Li 0.620 0.880 0.500
Li 0.120 0.620 0.500
Sb 0.000 0.000 0.000
As 0.678 0.178 0.000
As 0.322 0.822 0.000
Sb 0.500 0.500 0.000
As 0.178 0.322 0.000
Li 0.380 0.120 0.500



ii) A relaxed Li2SbAs2 crystal, computed with PBE.

Values from the calculation:
Mass density = 4.8 g/cm³

abc: 4.338 4.338 6.068
angles: 69.06 69.06 90.00
Element x y z (fractional)
Sb 0.000 0.000 0.000
As 0.386 0.386 0.229
As 0.614 0.614 0.771
Li 0.750 0.250 0.500
Li 0.250 0.750 0.500



Least stable structure: ii)



i) A relaxed LiSb3As crystal, computed with PBE.

Values from the calculation:
Mass density = 4.6 g/cm³

abc: 5.446 5.446 5.446
angles: 90.00 90.00 90.00
Element x y z (fractional)
Sb 0.000 0.000 0.500
As 0.000 0.000 0.000
Sb 0.000 0.500 0.000
Li 0.500 0.500 0.500
Sb 0.500 0.000 0.000



ii) A relaxed LiSb3As crystal, computed with PBE.

Values from the calculation:
Mass density = 6.0 g/cm³

abc: 4.977 4.977 4.977
angles: 90.00 90.00 90.00
Element x y z (fractional)
Sb 0.500 0.000 0.000
As 0.500 0.500 0.500
Sb 0.000 0.500 0.000
Sb 0.000 0.000 0.500
Li 0.000 0.000 0.000



Least stable structure: ii)



i) A relaxed Li6Sb2As crystal, computed with PBE.

Values from the calculation:
Mass density = 3.6 g/cm³

abc: 3.240 7.704 7.704
angles: 120.00 90.00 90.00
Element x y z (fractional)
Li 0.500 0.000 0.639
Li 0.000 0.730 0.730
Sb 0.000 0.667 0.333
Sb 0.000 0.333 0.667
Li 0.000 0.000 0.270
As 0.500 0.000 0.000
Li 0.500 0.639 0.000
Li 0.500 0.361 0.361
Li 0.000 0.270 0.000



ii) A relaxed Li6Sb2As crystal, computed with PBE.

Values from the calculation:
Mass density = 3.7 g/cm³

abc: 4.877 7.585 8.981
angles: 35.74 58.69 59.01
Element x y z (fractional)
Li 0.314 0.230 0.553
Li 0.687 0.984 0.330
Sb 0.997 0.121 0.439
Li 0.657 0.674 0.001
Li 0.685 0.326 0.669
Sb 0.003 0.434 0.784
As 0.000 0.778 0.111
Li 0.313 0.571 0.893
Li 0.343 0.881 0.221



Least stable structure: ii)